Entry 1:
A plane-wave DFT calculation with PBE was carried out for Li2FeH5 after structural relaxation.

```
32
Lattice="4.7150 0.0000 0.0000 0.0000 5.3858 0.0000 0.0000 0.0000 7.8764" Properties=species:S:1:pos:R:3 pbc="T T T"
H 1.7811 4.0393 2.4608
H 1.6541 1.3464 2.5317
H 1.5818 5.2195 4.4585
Li 4.3995 2.6645 5.3236
H 0.7757 2.8591 0.5204
H 3.1332 0.1662 3.4178
H 3.0610 4.0393 5.3447
H 0.7757 5.2195 0.5204
H 0.5315 1.3464 4.0463
Li 0.3155 2.7212 2.5528
Li 2.6730 0.0284 1.3854
Fe 0.2933 1.3464 0.1046
H 1.5818 2.8591 4.4585
Fe 4.4218 4.0393 7.7718
H 3.9393 0.1662 7.3560
H 4.0116 4.0393 1.4065
Li 2.6730 2.6645 1.3854
H 3.1332 2.5267 3.4178
Fe 2.6508 4.0393 3.8336
H 3.9393 2.5267 7.3560
H 2.8890 4.0393 7.7683
Li 4.3995 0.0284 5.3236
H 4.1386 1.3464 1.4774
Li 0.3155 5.3574 2.5528
Li 2.0420 2.7212 6.4910
H 2.9340 1.3464 5.4156
H 0.7034 1.3464 6.4699
H 4.1835 4.0393 3.8301
H 0.5765 4.0393 6.3990
Fe 2.0642 1.3464 4.0428
H 1.8260 1.3464 0.1081
Li 2.0420 5.3574 6.4910
```

---

Entry 2:
A plane-wave DFT calculation with PBE was carried out for Bi2Pd3S2 after structural relaxation.

**Offset from the most stable computed form**: 0.0000 eV/atom

```
14
Lattice="-6.6614 -2.0351 2.2112 4.6851 -0.5208 5.5843 -0.2221 6.9139 -2.3568" Properties=species:S:1:pos:R:3 pbc="T T T"
S 2.4870 3.1682 1.9183
S -1.3514 -1.3889 4.0183
Bi -0.0718 3.4526 -1.1316
Bi 2.2867 -0.2774 2.8107
S -2.0786 4.1204 5.1421
Pd 3.0218 0.7734 5.3209
Pd -0.8462 6.0888 -0.5019
Bi -1.0808 2.1425 2.6738
Pd -3.8059 1.9867 1.9701
Pd -0.0729 0.4625 4.7004
Pd 0.4531 4.3418 1.8044
Pd -5.3452 -0.5789 3.0223
S -3.4539 2.8164 -0.2013
Bi -3.3326 -0.9596 1.0858
```

---

Entry 3:
A plane-wave DFT calculation with PBE was carried out for Rb3BeBi after structural relaxation.

**Offset from the most stable computed form**: 0.0000 eV/atom
**Formation energy**: 0.52 eV per atom

```
5
Lattice="7.2311 0.0000 0.0000 0.0000 7.2311 0.0000 0.0000 0.0000 7.2311" Properties=species:S:1:pos:R:3 pbc="T T T"
Rb 3.6156 0.0000 0.0000
Rb 0.0000 0.0000 3.6156
Be 3.6156 3.6156 3.6156
Rb 0.0000 3.6156 0.0000
Bi 0.0000 0.0000 0.0000
```

---

Entry 4:
A plane-wave DFT calculation with PBE was carried out for HfSc2S5 after structural relaxation.

```
16
Lattice="5.0233 0.0000 0.0000 -2.5116 6.1564 0.0000 0.0000 0.0000 12.3320" Properties=species:S:1:pos:R:3 pbc="T T T"
S 0.0000 3.9201 5.2481
S 2.5116 5.5778 10.8281
S 2.5116 3.1016 3.0830
S 0.0000 0.5786 4.6621
Hf 2.5116 3.6900 9.2490
S 0.0000 3.0548 9.2490
S 2.5116 5.5778 7.6700
Sc 0.0000 1.7976 6.8334
Sc 0.0000 1.7976 11.6647
Sc 2.5116 4.3588 5.4987
S 0.0000 3.9201 0.9179
S 2.5116 2.2363 11.4141
S 0.0000 0.5786 1.5039
S 2.5116 2.2363 7.0839
Hf 0.0000 2.4664 3.0830
Sc 2.5116 4.3588 0.6673
```

---

Entry 5:
A plane-wave DFT calculation with PBE was carried out for Sm2DyEr6 after structural relaxation.

**Offset from the most stable computed form**: 0.0000 eV/atom
**Formation energy**: 0.11 eV per atom

```
18
Lattice="-4.0782 -5.0377 -0.6972 0.4677 -3.5671 8.8096 -8.2663 4.5548 1.2135" Properties=species:S:1:pos:R:3 pbc="T T T"
Sm -4.5250 -1.3175 3.1304
Er -6.7652 -1.7858 0.5735
Sm -7.3518 -2.7324 6.1954
Sm -6.1236 -4.2459 3.1649
Er -6.6070 -6.0142 6.1019
Er -5.2698 1.9643 3.2239
Er -7.8433 -0.4495 3.6020
Er -1.2118 -2.5350 3.9786
Er -9.3138 -3.9749 8.8001
Sm -5.7532 0.1960 6.1609
Er -10.6651 -1.5149 5.3472
Dy -8.2501 2.3323 1.9400
Er -3.0486 -4.0386 1.5283
Er -4.0336 -3.6004 5.7239
Er -2.5631 -0.0750 0.5257
Er -5.1116 -2.2642 8.7523
Er -8.8283 -0.0113 7.7975
Dy -3.6267 -6.3822 7.3858
```

---

Entry 6:
A plane-wave DFT calculation with PBE was carried out for Dy2Tm4Cd after structural relaxation.

**Formation energy**: 0.05 eV per atom

```
7
Lattice="-0.2449 0.8496 -3.3423 4.4481 -6.7798 -2.0494 -7.9628 -1.2486 2.0541" Properties=species:S:1:pos:R:3 pbc="T T T"
Cd 0.0000 0.0000 0.0000
Tm -5.5977 -2.2894 -1.9600
Dy -0.8511 -5.8547 -3.2141
Dy -2.9085 -1.3240 -0.1235
Tm 1.8381 -4.8894 -1.3776
Tm -3.2756 -4.7051 -0.9561
Tm -0.4839 -2.4736 -2.3815
```

---

Entry 7:
A plane-wave DFT calculation with PBE was carried out for NdGaCu2Pd after structural relaxation.

**Formation energy**: -0.42 eV per atom

```
5
Lattice="3.9606 0.0000 0.0000 0.0000 4.1489 0.0000 -1.9803 -2.0745 5.4884" Properties=species:S:1:pos:R:3 pbc="T T T"
Cu 1.9803 0.0000 2.1600
Ga 1.9803 2.0745 3.5916
Pd 0.0000 2.0745 2.0578
Nd 0.0000 0.0000 4.9358
Cu 0.0000 0.0000 0.5601
```

---

Entry 8:
A plane-wave DFT calculation with PBE was carried out for CdPd3Se after structural relaxation.

**Offset from the most stable computed form**: 0.0000 eV/atom

```
5
Lattice="4.6969 0.0000 0.0000 0.0000 4.6969 0.0000 0.0000 0.0000 4.6969" Properties=species:S:1:pos:R:3 pbc="T T T"
Pd 0.0000 2.3484 0.0000
Cd 2.3484 2.3484 2.3484
Pd 0.0000 0.0000 2.3484
Pd 2.3484 0.0000 0.0000
Se 0.0000 0.0000 0.0000
```

---

Number 1: VASP energy -3.829 eV per atom, size of the total moment 0.0175 μB per atom. Number 2: VASP energy -4.879 eV per atom, size of the total moment 0.0000 μB per atom. Number 3: VASP energy -1.586 eV per atom, size of the total moment 0.0000 μB per atom. Number 4: VASP energy -7.129 eV per atom, size of the total moment 0.0000 μB per atom. Number 5: VASP energy -4.493 eV per atom, size of the total moment 0.0000 μB per atom. Number 6: VASP energy -3.950 eV per atom, size of the total moment 0.0000 μB per atom. Number 7: VASP energy -4.651 eV per atom, size of the total moment 0.0000 μB per atom. Number 8: VASP energy -3.995 eV per atom, size of the total moment 0.0000 μB per atom.